First-principles (PBE) data for Ce5PuIn2 after structural relaxation, as listed in the Alexandria database.

Cell lengths 7.0828, 7.0828, 9.0405 Å; angles 90.00, 90.00, 90.00 degrees
Space group I4mm (No. 107)
Unique sites:
Ce  0.0000  0.0000  0.0000 [2 per cell]
Ce  0.2481  0.2481  0.7626 [8 per cell]
Pu  0.0000  0.0000  0.7318 [2 per cell]
In  0.0000  0.5000  0.0199 [4 per cell]

DFT formation energy ... -0.12 eV per atom
Excess energy over the best structure of this formula in the dataset ... 76.8 meV per atom